# 1
This record from Alexandria describes crystalline CaPr7Sm4 at its relaxed geometry. The functional is PBE.

The total energy is -4.5020 eV per atom. Its formation energy from the elements is 26 meV per atom.

The space group is P-1 (No. 2) and the conventional cell measures 6.389, 7.401 and 9.787 Å, with angles of 79.15, 71.02 and 89.92 degrees. The distinct sites, in fractional coordinates, are Ca at (0.000, 0.000, 0.000), Pr at (0.000, 0.500, 0.000), Pr at (0.001, 0.663, 0.337), Pr at (0.492, 0.917, 0.338), Pr at (0.498, 0.257, 0.001), Sm at (0.002, 0.169, 0.337) and Sm at (0.499, 0.584, 0.666).


# 2
This record from Alexandria describes crystalline Ca3Pr6Sm2 at its relaxed geometry. The functional is PBE.

The total energy is -3.9704 eV per atom. Its formation energy from the elements is 40 meV per atom.

The space group is R-3m (No. 166, hexagonal axes) and the conventional cell measures 3.7154, 3.7154 and 101.6388 Å, with angles of 90.00, 90.00 and 120.00 degrees. The distinct sites, in fractional coordinates, are Ca at (0.0000, 0.0000, 0.0000), Ca at (0.0000, 0.0000, 0.2714), Pr at (0.0000, 0.0000, 0.0935), Pr at (0.0000, 0.0000, 0.1815), Pr at (0.0000, 0.0000, 0.3643) and Sm at (0.0000, 0.0000, 0.4556).


# 3
This record from Alexandria describes crystalline CaPrSmSn at its relaxed geometry. The functional is PBE.

The total energy is -4.1638 eV per atom. Its formation energy from the elements is -288 meV per atom.

The space group is F-43m (No. 216) and the conventional cell measures 7.871, 7.871 and 7.871 Å, with angles of 90.00, 90.00 and 90.00 degrees. The distinct sites, in fractional coordinates, are Ca at (0.000, 0.000, 0.000), Pr at (0.250, 0.250, 0.250), Sm at (0.250, 0.250, 0.750) and Sn at (0.000, 0.000, 0.500).


# 4
This record from Alexandria describes crystalline SrCaPrSm at its relaxed geometry. The functional is PBE.

The total energy is -3.1395 eV per atom. Its formation energy from the elements is 156 meV per atom.

The space group is F-43m (No. 216) and the conventional cell measures 8.600, 8.600 and 8.600 Å, with angles of 90.00, 90.00 and 90.00 degrees. The distinct sites, in fractional coordinates, are Sr at (0.000, 0.000, 0.000), Ca at (0.250, 0.250, 0.250), Pr at (0.000, 0.000, 0.500) and Sm at (0.250, 0.250, 0.750).


# 5
This record from Alexandria describes crystalline CaTb2Pr3Sm6 at its relaxed geometry. The functional is PBE.

The total energy is -4.4498 eV per atom. Its formation energy from the elements is 43 meV per atom.

The space group is C2/m (No. 12) and the conventional cell measures 6.345, 10.998 and 12.078 Å, with angles of 90.00, 100.06 and 90.00 degrees. The distinct sites, in fractional coordinates, are Ca at (0.000, 0.000, 0.000), Tb at (0.000, 0.333, 0.000), Pr at (0.000, 0.166, 0.500), Pr at (0.000, 0.500, 0.500), Sm at (0.244, 0.500, 0.249) and Sm at (0.246, 0.330, 0.751).


# 6
This record from Alexandria describes crystalline CaTbPr6Sm2 at its relaxed geometry. The functional is PBE.

The total energy is -4.3512 eV per atom. Its formation energy from the elements is 123 meV per atom.

The space group is C2/c (No. 15) and the conventional cell measures 9.294, 15.691 and 10.031 Å, with angles of 90.00, 99.07 and 90.00 degrees. The distinct sites, in fractional coordinates, are Ca at (0.000, 0.098, 0.250), Tb at (0.000, 0.476, 0.750), Pr at (0.059, 0.324, 0.448), Pr at (0.108, 0.106, 0.623), Pr at (0.199, 0.273, 0.822) and Sm at (0.249, 0.451, 0.043).


# 7
This record from Alexandria describes crystalline CaTb2Pr6Sm at its relaxed geometry. The functional is PBE.

The total energy is -4.3394 eV per atom. Its formation energy from the elements is 126 meV per atom.

The space group is C2/c (No. 15) and the conventional cell measures 9.316, 15.626 and 9.985 Å, with angles of 90.00, 98.50 and 90.00 degrees. The distinct sites, in fractional coordinates, are Ca at (0.000, 0.098, 0.250), Tb at (0.248, 0.451, 0.044), Pr at (0.062, 0.325, 0.448), Pr at (0.103, 0.106, 0.622), Pr at (0.203, 0.271, 0.823) and Sm at (0.000, 0.473, 0.750).


# 8
This record from Alexandria describes crystalline CaPr2SmTe4 at its relaxed geometry. The functional is PBE.

The total energy is -5.0720 eV per atom. The calculation puts the uncorrected formation energy at -1466 meV per atom.

The space group is P2/m (No. 10) and the conventional cell measures 7.790, 4.459 and 7.845 Å, with angles of 90.00, 108.90 and 90.00 degrees. The distinct sites, in fractional coordinates, are Ca at (0.000, 0.000, 0.000), Pr at (0.000, 0.500, 0.500), Pr at (0.500, 0.000, 0.500), Sm at (0.500, 0.500, 0.000), Te at (0.246, 0.500, 0.242) and Te at (0.251, 0.000, 0.758).


# 9
This record from Alexandria describes crystalline CaPr3Sm3Te8 at its relaxed geometry. The functional is PBE.

The total energy is -5.1836 eV per atom. The calculation puts the uncorrected formation energy at -1475 meV per atom.

The space group is R-3m (No. 166, hexagonal axes) and the conventional cell measures 8.9449, 8.9449 and 22.0158 Å, with angles of 90.00, 90.00 and 120.00 degrees. The distinct sites, in fractional coordinates, are Ca at (0.0000, 0.0000, 0.0000), Pr at (0.0000, 0.5000, 0.5000), Sm at (0.0000, 0.5000, 0.0000), Te at (0.0000, 0.0000, 0.2522) and Te at (0.0069, 0.5034, 0.2506).


# 10
This record from Alexandria describes crystalline CaPr3Sm4Te8 at its relaxed geometry. The functional is PBE.

The total energy is -5.1989 eV per atom. The calculation puts the uncorrected formation energy at -1427 meV per atom.

The space group is R-3m (No. 166, hexagonal axes) and the conventional cell measures 8.9817, 8.9817 and 21.9264 Å, with angles of 90.00, 90.00 and 120.00 degrees. The distinct sites, in fractional coordinates, are Ca at (0.0000, 0.0000, 0.0000), Pr at (0.0000, 0.5000, 0.0000), Sm at (0.0000, 0.0000, 0.5000), Sm at (0.0000, 0.5000, 0.5000), Te at (0.0000, 0.0000, 0.2477) and Te at (0.0046, 0.5023, 0.7512).


# 11
This record from Alexandria describes crystalline Ca3PrSm2Te6 at its relaxed geometry. The functional is PBE.

The total energy is -4.7619 eV per atom. The calculation puts the uncorrected formation energy at -1506 meV per atom.

The space group is C2/m (No. 12) and the conventional cell measures 19.697, 4.447 and 9.049 Å, with angles of 90.00, 104.80 and 90.00 degrees. The distinct sites, in fractional coordinates, are Ca at (0.000, 0.000, 0.000), Ca at (0.165, 0.500, 0.332), Pr at (0.000, 0.000, 0.500), Sm at (0.164, 0.500, 0.828), Te at (0.001, 0.500, 0.244), Te at (0.168, 0.000, 0.082) and Te at (0.169, 0.000, 0.582).


# 12
This record from Alexandria describes crystalline Ca2Pr3SmTe6 at its relaxed geometry. The functional is PBE.

The total energy is -4.9768 eV per atom. The calculation puts the uncorrected formation energy at -1484 meV per atom.

The space group is C2/m (No. 12) and the conventional cell measures 7.741, 13.424 and 7.903 Å, with angles of 90.00, 109.13 and 90.00 degrees. The distinct sites, in fractional coordinates, are Ca at (0.000, 0.167, 0.000), Pr at (0.000, 0.000, 0.500), Pr at (0.000, 0.331, 0.500), Sm at (0.000, 0.500, 0.000), Te at (0.247, 0.000, 0.244) and Te at (0.247, 0.333, 0.240).